# 1
# SmMgSn2 GGA-PBE optimized geometry
data_SmMgSn2
_cell_length_a 4.863
_cell_length_b 4.863
_cell_length_c 5.932
_cell_angle_alpha 65.80
_cell_angle_beta 65.80
_cell_angle_gamma 60.00
_symmetry_space_group_name_H-M 'P 1'
_symmetry_Int_Tables_number 1
loop_
_symmetry_equiv_pos_as_xyz
'x,y,z'
loop_
_atom_site_label
_atom_site_fract_x
_atom_site_fract_y
_atom_site_fract_z
Sn1 0.234 0.234 0.298
Sn2 0.766 0.766 0.702
Sm1 0.000 0.000 0.000
Mg1 0.500 0.500 0.500
# Density of states at the Fermi level = 0.530 states/eV per atom
# Calculated total energy = -0.14519 Ha/atom
# Formation energy = -0.37 eV per atom

# 2
# SmMgSn GGA-PBE optimized geometry
data_SmMgSn
_cell_length_a 3.657
_cell_length_b 4.954
_cell_length_c 4.954
_cell_angle_alpha 120.00
_cell_angle_beta 90.00
_cell_angle_gamma 90.00
_symmetry_space_group_name_H-M 'P 1'
_symmetry_Int_Tables_number 1
loop_
_symmetry_equiv_pos_as_xyz
'x,y,z'
loop_
_atom_site_label
_atom_site_fract_x
_atom_site_fract_y
_atom_site_fract_z
Mg1 0.167 0.000 0.000
Sn1 0.166 0.333 0.667
Sm1 0.667 0.667 0.333
# Density of states at the Fermi level = 0.360 states/eV per atom
# Calculated total energy = -0.14467 Ha/atom
# Formation energy = -0.50 eV per atom

# 3
# Sm3Mg2Sn GGA-PBE optimized geometry
data_Sm3Mg2Sn
_cell_length_a 4.244
_cell_length_b 5.130
_cell_length_c 8.160
_cell_angle_alpha 108.32
_cell_angle_beta 90.00
_cell_angle_gamma 90.00
_symmetry_space_group_name_H-M 'P 1'
_symmetry_Int_Tables_number 1
loop_
_symmetry_equiv_pos_as_xyz
'x,y,z'
loop_
_atom_site_label
_atom_site_fract_x
_atom_site_fract_y
_atom_site_fract_z
Mg1 0.000 0.327 0.655
Mg2 0.000 0.673 0.345
Sm1 0.500 0.500 0.000
Sm2 0.500 0.837 0.674
Sm3 0.500 0.163 0.326
Sn1 0.000 0.000 0.000
# Density of states at the Fermi level = 0.930 states/eV per atom
# Calculated total energy = -0.14299 Ha/atom
# Formation energy = -0.33 eV per atom